Crystalline CsRbCdTe at its relaxed geometry, computed with PBE.

Computed properties:
E_form (uncorrected)	-60	kJ per mole of atoms

a b c (Å): 6.334 6.334 6.334
angles (deg): 60.00 60.00 60.00
Element x y z (fractional)
Cs 0.000 0.000 0.000
Rb 0.500 0.500 0.500
Cd 0.250 0.250 0.250
Te 0.750 0.750 0.750

=====

Crystalline Cs2RbCdTe at its relaxed geometry, computed with PBE.

Computed properties:
E_form (uncorrected)	-42	kJ per mole of atoms

a b c (Å): 7.417 7.417 7.009
angles (deg): 90.00 90.00 90.00
Element x y z (fractional)
Cs 0.000 0.500 0.000
Cs 0.500 0.000 0.000
Rb 0.000 0.000 0.500
Cd 0.500 0.500 0.500
Te 0.000 0.000 0.000

=====

Crystalline CsRbCdTe2 at its relaxed geometry, computed with PBE.

Computed properties:
E_form (uncorrected)	-63	kJ per mole of atoms

a b c (Å): 6.340 8.990 7.884
angles (deg): 90.00 90.00 90.00
Element x y z (fractional)
Cs 0.250 0.000 0.198
Cs 0.750 0.000 0.802
Rb 0.250 0.500 0.406
Rb 0.750 0.500 0.594
Cd 0.000 0.500 0.000
Cd 0.500 0.500 0.000
Te 0.250 0.275 0.802
Te 0.250 0.725 0.802
Te 0.750 0.275 0.198
Te 0.750 0.725 0.198

=====

Crystalline Cs2RbTl2Cd2 at its relaxed geometry, computed with PBE.

Computed properties:
E_tot	-1.356	eV/atom

a b c (Å): 7.054 7.054 11.101
angles (deg): 104.94 104.94 40.44
Element x y z (fractional)
Cs 0.106 0.106 0.371
Cs 0.894 0.894 0.629
Rb 0.500 0.500 0.000
Tl 0.208 0.208 0.754
Tl 0.792 0.792 0.246
Cd 0.244 0.244 0.074
Cd 0.756 0.756 0.926